(1)
{
  "formula": "Tb3Ho2Sc4",
  "functional": "GGA-PBE",
  "state": "optimized geometry",
  "sg": "C2/c",
  "energy_ev_per_atom": -5.258,
  "e_form_ev_per_atom": 0.116,
  "lattice_angstrom": [[5.4936, 1.4491, 1.0375], [2.0850, 10.5677, 0.7199], [2.0850, 4.0866, 9.7721]],
  "species": ["Tb", "Tb", "Tb", "Tb", "Tb", "Tb", "Ho", "Ho", "Ho", "Ho", "Sc", "Sc", "Sc", "Sc", "Sc", "Sc", "Sc", "Sc"],
  "frac_coords": [[0.7848, 0.0566, 0.2662], [0.7152, 0.7338, 0.9434], [0.2152, 0.9434, 0.7338], [0.2848, 0.2662, 0.0566], [0.2500, 0.6145, 0.3855], [0.7500, 0.3855, 0.6145], [0.4438, 0.2433, 0.5062], [0.0562, 0.4938, 0.7567], [0.5562, 0.7567, 0.4938], [0.9438, 0.5062, 0.2433], [0.4352, 0.9167, 0.1764], [0.0648, 0.8236, 0.0833], [0.5648, 0.0833, 0.8236], [0.9352, 0.1764, 0.9167], [0.1091, 0.1346, 0.4109], [0.3909, 0.5891, 0.8654], [0.8909, 0.8654, 0.5891], [0.6091, 0.4109, 0.1346]]
}

---

(2)
{
  "formula": "Ce2PmOs",
  "functional": "GGA-PBE",
  "state": "optimized geometry",
  "sg": "Cmcm",
  "e_above_lowest_polymorph_mev_per_atom": 2,
  "energy_ev_per_atom": -7.090,
  "e_form_ev_per_atom": -0.128,
  "lattice_angstrom": [[-1.5537, -3.3499, -1.0183], [2.4860, -0.6622, 5.5903], [-8.1941, 2.5993, 3.9518]],
  "species": ["Ce", "Ce", "Ce", "Ce", "Pm", "Pm", "Os", "Os"],
  "frac_coords": [[0.3583, 0.7166, 0.5598], [0.6417, 0.2834, 0.4402], [0.6417, 0.2834, 0.0598], [0.3583, 0.7166, 0.9402], [0.9251, 0.8502, 0.2500], [0.0749, 0.1498, 0.7500], [0.2101, 0.4202, 0.2500], [0.7899, 0.5798, 0.7500]]
}

---

Number 1: density of states at the Fermi level 1.655 states/eV per atom, volume 509.8 Å³ per cell. Number 2: density of states at the Fermi level 1.955 states/eV per atom, volume 211.9 Å³ per cell.